# NdSc4Pd5

NdSc4Pd5 after structural relaxation (PBE, Alexandria).

a = 3.321 Å, b = 3.321 Å, c = 17.345 Å
α = 90.00°, β = 90.00°, γ = 90.00°
Fractional positions:
Nd: 0.000 0.000 0.000
Sc: 0.000 0.000 0.211
Sc: 0.000 0.000 0.404
Sc: 0.000 0.000 0.596
Sc: 0.000 0.000 0.789
Pd: 0.500 0.500 0.125
Pd: 0.500 0.500 0.310
Pd: 0.500 0.500 0.500
Pd: 0.500 0.500 0.690
Pd: 0.500 0.500 0.875

Values from the calculation:
- energy of formation (meV per atom) = -860
- size of the total moment (μB/f.u.) = 0.000
- total energy (Ry/atom) = -0.4753
- symmetry = P4/mmm, No. 123
- DOS at the Fermi energy (states/eV/f.u.) = 6.548


# Sc4TeRh

Sc4TeRh after structural relaxation (PBE, Alexandria).

a = 7.614 Å, b = 3.777 Å, c = 18.077 Å
α = 90.00°, β = 90.00°, γ = 90.00°
Fractional positions:
Sc: 0.001 0.250 0.068
Sc: 0.044 0.750 0.212
Sc: 0.139 0.750 0.449
Sc: 0.142 0.750 0.648
Sc: 0.358 0.250 0.148
Sc: 0.361 0.250 0.949
Sc: 0.456 0.250 0.712
Sc: 0.499 0.750 0.568
Sc: 0.501 0.250 0.432
Sc: 0.544 0.750 0.288
Sc: 0.639 0.750 0.051
Sc: 0.642 0.750 0.852
Sc: 0.858 0.250 0.352
Sc: 0.861 0.250 0.551
Sc: 0.956 0.250 0.788
Sc: 0.999 0.750 0.932
Te: 0.240 0.250 0.310
Te: 0.260 0.750 0.810
Te: 0.740 0.250 0.190
Te: 0.760 0.750 0.690
Rh: 0.242 0.250 0.550
Rh: 0.258 0.750 0.050
Rh: 0.742 0.250 0.950
Rh: 0.758 0.750 0.450

Values from the calculation:
- size of the total moment (μB/f.u.) = 0.000
- E_form (uncorrected) (eV per formula unit) = -4.7
- total energy (Ry/atom) = -0.4962
- symmetry = Pnma, No. 62
- DOS at the Fermi energy (states/eV/f.u.) = 5.566


# SmPaNbN3

SmPaNbN3 after structural relaxation (PBE, Alexandria).

a = 7.204 Å, b = 3.333 Å, c = 8.182 Å
α = 90.00°, β = 92.35°, γ = 90.00°
Fractional positions:
Sm: 0.133 0.250 0.171
Sm: 0.867 0.750 0.829
Pa: 0.372 0.750 0.838
Pa: 0.628 0.250 0.162
Nb: 0.135 0.250 0.561
Nb: 0.865 0.750 0.439
N: 0.145 0.250 0.850
N: 0.167 0.750 0.401
N: 0.404 0.750 0.107
N: 0.596 0.250 0.893
N: 0.833 0.250 0.599
N: 0.855 0.750 0.150

Values from the calculation:
- size of the total moment (μB/f.u.) = 0.000
- E_form (uncorrected) (eV per formula unit) = -6.8
- total energy (Ry/atom) = -0.6862
- symmetry = P2_1/m, No. 11
- DOS at the Fermi energy (states/eV/f.u.) = 2.565


# SrAl2O

SrAl2O after structural relaxation (PBE, Alexandria).

a = 6.291 Å, b = 6.291 Å, c = 6.291 Å
α = 119.85°, β = 119.85°, γ = 90.27°
Fractional positions:
Sr: 0.000 0.000 0.000
Sr: 0.750 0.250 0.500
Al: 0.323 0.625 0.198
Al: 0.375 0.573 0.698
Al: 0.427 0.125 0.802
Al: 0.875 0.677 0.302
O: 0.250 0.750 0.500
O: 0.500 0.500 0.000

Values from the calculation:
- size of the total moment (μB/f.u.) = 0.000
- E_form (uncorrected) (eV per formula unit) = -2.6
- total energy (Ry/atom) = -0.3072
- symmetry = I-42d, No. 122
- DOS at the Fermi energy (states/eV/f.u.) = 3.300


# Cu2SbMo

Cu2SbMo after structural relaxation (PBE, Alexandria).

a = 5.022 Å, b = 5.022 Å, c = 5.022 Å
α = 134.38°, β = 134.38°, γ = 66.50°
Fractional positions:
Cu: 0.250 0.750 0.500
Cu: 0.750 0.250 0.500
Sb: 0.000 0.000 0.000
Mo: 0.500 0.500 0.000

Values from the calculation:
- size of the total moment (μB/f.u.) = 1.644
- E_form (uncorrected) (eV per formula unit) = 1.7
- total energy (Ry/atom) = -0.3943
- symmetry = I4/mmm, No. 139
- DOS at the Fermi energy (states/eV/f.u.) = 4.409


# YAg2

YAg2 after structural relaxation (PBE, Alexandria).

a = 7.206 Å, b = 7.206 Å, c = 4.953 Å
α = 90.00°, β = 90.00°, γ = 120.00°
Fractional positions:
Y: 0.000 0.000 0.000
Y: 0.333 0.667 0.500
Y: 0.667 0.333 0.500
Ag: 0.000 0.227 0.500
Ag: 0.000 0.445 0.000
Ag: 0.227 0.000 0.500
Ag: 0.445 0.000 0.000
Ag: 0.555 0.555 0.000
Ag: 0.773 0.773 0.500

Values from the calculation:
- energy of formation (meV per atom) = -70
- size of the total moment (μB/f.u.) = 0.000
- total energy (Ry/atom) = -0.3032
- symmetry = P-62m, No. 189
- DOS at the Fermi energy (states/eV/f.u.) = 2.308


# BaTlCu2Pb

BaTlCu2Pb after structural relaxation (PBE, Alexandria).

a = 5.793 Å, b = 5.793 Å, c = 6.500 Å
α = 90.00°, β = 90.00°, γ = 90.00°
Fractional positions:
Ba: 0.000 0.000 0.000
Tl: 0.500 0.500 0.500
Cu: 0.000 0.500 0.000
Cu: 0.500 0.000 0.000
Pb: 0.000 0.000 0.500

Values from the calculation:
- energy of formation (meV per atom) = 1013
- size of the total moment (μB/f.u.) = 0.000
- total energy (Ry/atom) = -0.1635
- symmetry = P4/mmm, No. 123
- DOS at the Fermi energy (states/eV/f.u.) = 5.827


# KAc2YSe4

KAc2YSe4 after structural relaxation (PBE, Alexandria).

a = 7.547 Å, b = 4.369 Å, c = 7.710 Å
α = 90.00°, β = 109.01°, γ = 90.00°
Fractional positions:
K: 0.000 0.000 0.000
Ac: 0.500 0.000 0.500
Ac: 0.500 0.500 0.000
Y: 0.000 0.500 0.500
Se: 0.232 0.000 0.732
Se: 0.245 0.500 0.264
Se: 0.755 0.500 0.736
Se: 0.768 0.000 0.268

Values from the calculation:
- size of the total moment (μB/f.u.) = 0.000
- E_form (uncorrected) (eV per formula unit) = -14.0
- total energy (Ry/atom) = -0.4014
- symmetry = P2/m, No. 10
- DOS at the Fermi energy (states/eV/f.u.) = 2.958


# InBiSb2Te

InBiSb2Te after structural relaxation (PBE, Alexandria).

a = 5.610 Å, b = 5.610 Å, c = 5.567 Å
α = 90.00°, β = 90.00°, γ = 90.00°
Fractional positions:
In: 0.000 0.000 0.000
Bi: 0.500 0.500 0.500
Sb: 0.000 0.500 0.000
Sb: 0.500 0.000 0.000
Te: 0.000 0.000 0.500

Values from the calculation:
- size of the total moment (μB/f.u.) = 0.000
- E_form (uncorrected) (eV per formula unit) = 3.2
- total energy (Ry/atom) = -0.2180
- symmetry = P4/mmm, No. 123
- DOS at the Fermi energy (states/eV/f.u.) = 5.868


# BaMg2InH

BaMg2InH after structural relaxation (PBE, Alexandria).

a = 6.768 Å, b = 6.768 Å, c = 8.045 Å
α = 90.00°, β = 90.00°, γ = 137.72°
Fractional positions:
Ba: 0.064 0.936 0.750
Ba: 0.936 0.064 0.250
Mg: 0.339 0.661 0.559
Mg: 0.339 0.661 0.941
Mg: 0.661 0.339 0.059
Mg: 0.661 0.339 0.441
In: 0.214 0.786 0.250
In: 0.786 0.214 0.750
H: 0.500 0.500 0.000
H: 0.500 0.500 0.500

Values from the calculation:
- size of the total moment (μB/f.u.) = 0.000
- total energy (Ry/atom) = -0.1841
- symmetry = Cmcm, No. 63
- DOS at the Fermi energy (states/eV/f.u.) = 0.637


# PmNd3C8

PmNd3C8 after structural relaxation (PBE, Alexandria).

a = 6.458 Å, b = 6.458 Å, c = 6.458 Å
α = 111.56°, β = 111.56°, γ = 105.37°
Fractional positions:
Pm: 0.000 0.000 0.000
Nd: 0.250 0.750 0.500
Nd: 0.500 0.500 0.000
Nd: 0.750 0.250 0.500
C: 0.067 0.067 0.672
C: 0.131 0.598 0.000
C: 0.395 0.395 0.328
C: 0.402 0.402 0.533
C: 0.598 0.131 0.000
C: 0.605 0.933 0.000
C: 0.869 0.869 0.467
C: 0.933 0.605 0.000

Values from the calculation:
- energy of formation (meV per atom) = 165
- size of the total moment (μB/f.u.) = 0.000
- total energy (Ry/atom) = -0.5566
- symmetry = I-42m, No. 121
- DOS at the Fermi energy (states/eV/f.u.) = 3.460


# CoMo2Pt

CoMo2Pt after structural relaxation (PBE, Alexandria).

a = 2.714 Å, b = 4.374 Å, c = 4.828 Å
α = 90.00°, β = 90.00°, γ = 90.00°
Fractional positions:
Co: 0.000 0.000 0.000
Mo: 0.500 0.000 0.513
Mo: 0.500 0.500 0.848
Pt: 0.000 0.500 0.333

Values from the calculation:
- energy of formation (meV per atom) = -139
- size of the total moment (μB/f.u.) = 0.000
- total energy (Ry/atom) = -0.6498
- symmetry = Pmm2, No. 25
- DOS at the Fermi energy (states/eV/f.u.) = 2.467


The highest size of the total moment belongs to which entry?
Cu2SbMo


Which value of size of the total moment does entry 7 give?
0.000 μB/f.u.